[1]
Below is a geometry-optimized TaHg2Cl structure, with properties calculated at the PBE-GGA level.

It has space group Cmm2 (No. 35), with a = 2.989 Å, b = 5.720 Å, c = 11.345 Å, α = 90.00°, β = 90.00° and γ = 90.00°. The distinct sites, in fractional coordinates, are Ta at (0.000, 0.000, 0.000), Hg at (0.000, 0.000, 0.478), Hg at (0.000, 0.500, 0.223) and Cl at (0.000, 0.500, 0.828).

As for the uncorrected formation energy: -0.7 kJ per mole of atoms. The calculation puts the spin magnetization at 0.0 μB per formula unit. As for the raw total energy: -3.583 eV per atom.

[2]
Below is a geometry-optimized MgGeAu2O6 structure, with properties calculated at the PBE-GGA level.

It has space group C2/c (No. 15), with a = 10.213 Å, b = 8.926 Å, c = 5.733 Å, α = 90.00°, β = 96.98° and γ = 90.00°. The distinct sites, in fractional coordinates, are Mg at (0.000, 0.081, 0.250), Ge at (0.000, 0.266, 0.750), Au at (0.248, 0.422, 0.108), O at (0.105, 0.116, 0.620), O at (0.110, 0.202, 0.044) and O at (0.126, 0.447, 0.795).

As for the uncorrected formation energy: -77.2 kJ per mole of atoms. The calculation puts the spin magnetization at 0.0 μB per formula unit. As for the raw total energy: -5.052 eV per atom.

[3]
Below is a geometry-optimized K5NbCl2O4 structure, with properties calculated at the PBE-GGA level.

It has space group Amm2 (No. 38), with a = 8.393 Å, b = 10.459 Å, c = 6.666 Å, α = 90.00°, β = 90.00° and γ = 90.00°. The distinct sites, in fractional coordinates, are K at (0.000, 0.000, 0.000), K at (0.290, 0.181, 0.396), Nb at (0.500, 0.000, 0.913), Cl at (0.000, 0.197, 0.664), O at (0.321, 0.000, 0.086) and O at (0.500, 0.147, 0.747).

As for the uncorrected formation energy: -198.2 kJ per mole of atoms. The calculation puts the spin magnetization at 0.2 μB per formula unit. As for the raw total energy: -5.312 eV per atom.

[4]
Below is a geometry-optimized LiZr2Hg3 structure, with properties calculated at the PBE-GGA level.

It has space group P4/mmm (No. 123), with a = 3.207 Å, b = 3.207 Å, c = 11.871 Å, α = 90.00°, β = 90.00° and γ = 90.00°. The distinct sites, in fractional coordinates, are Li at (0.000, 0.000, 0.000), Zr at (0.000, 0.000, 0.323), Hg at (0.500, 0.500, 0.145) and Hg at (0.500, 0.500, 0.500).

The calculation puts the spin magnetization at 0.0 μB per formula unit. As for the raw total energy: -3.530 eV per atom. Its energy of formation is -1.3 eV per formula unit.

[5]
Below is a geometry-optimized SmMnH structure, with properties calculated at the PBE-GGA level.

It has space group Cmcm (No. 63), with a = 3.095 Å, b = 16.577 Å, c = 3.424 Å, α = 90.00°, β = 90.00° and γ = 90.00°. The distinct sites, in fractional coordinates, are Sm at (0.000, 0.098, 0.250), Mn at (0.000, 0.245, 0.750) and H at (0.000, 0.450, 0.250).

The calculation puts the spin magnetization at 0.0 μB per formula unit. As for the raw total energy: -5.648 eV per atom.

[6]
Below is a geometry-optimized SrLa2GeO structure, with properties calculated at the PBE-GGA level.

It has space group P4/mmm (No. 123), with a = 4.984 Å, b = 4.984 Å, c = 5.049 Å, α = 90.00°, β = 90.00° and γ = 90.00°. The distinct sites, in fractional coordinates, are Sr at (0.000, 0.000, 0.000), La at (0.000, 0.500, 0.500), Ge at (0.500, 0.500, 0.000) and O at (0.000, 0.000, 0.500).

As for the uncorrected formation energy: -132.5 kJ per mole of atoms. The calculation puts the spin magnetization at 0.0 μB per formula unit. As for the raw total energy: -5.596 eV per atom.

[7]
Below is a geometry-optimized CuAs2SeI structure, with properties calculated at the PBE-GGA level.

It has space group P4/mmm (No. 123), with a = 4.936 Å, b = 4.936 Å, c = 4.699 Å, α = 90.00°, β = 90.00° and γ = 90.00°. The distinct sites, in fractional coordinates, are Cu at (0.000, 0.000, 0.000), As at (0.000, 0.500, 0.000), Se at (0.000, 0.000, 0.500) and I at (0.500, 0.500, 0.500).

As for the uncorrected formation energy: 57.3 kJ per mole of atoms. The calculation puts the spin magnetization at 0.0 μB per formula unit. As for the raw total energy: -3.092 eV per atom.

[8]
Below is a geometry-optimized CrAg2S structure, with properties calculated at the PBE-GGA level.

It has space group I-42d (No. 122), with a = 8.405 Å, b = 8.405 Å, c = 4.627 Å, α = 90.00°, β = 90.00° and γ = 90.00°. The distinct sites, in fractional coordinates, are Cr at (0.000, 0.000, 0.000), Ag at (0.164, 0.750, 0.625) and S at (0.000, 0.000, 0.500).

As for the uncorrected formation energy: 30.0 kJ per mole of atoms. The calculation puts the spin magnetization at 3.9 μB per formula unit. As for the raw total energy: -4.553 eV per atom.

Which value of raw total energy does entry 4 give?
-3.530 eV per atom

Which formula does entry 4 have?
LiZr2Hg3

What did the third record say?
Below is a geometry-optimized K5NbCl2O4 structure, with properties calculated at the PBE-GGA level.

It has space group Amm2 (No. 38), with a = 8.393 Å, b = 10.459 Å, c = 6.666 Å, α = 90.00°, β = 90.00° and γ = 90.00°. The distinct sites, in fractional coordinates, are K at (0.000, 0.000, 0.000), K at (0.290, 0.181, 0.396), Nb at (0.500, 0.000, 0.913), Cl at (0.000, 0.197, 0.664), O at (0.321, 0.000, 0.086) and O at (0.500, 0.147, 0.747).

As for the uncorrected formation energy: -198.2 kJ per mole of atoms. The calculation puts the spin magnetization at 0.2 μB per formula unit. As for the raw total energy: -5.312 eV per atom.